(1)
PBE CePm5Pr8, relaxed; formation energy = 0.24 eV per atom; symmetry = I-4; size of the total moment = 1.2 μB/f.u.; VASP energy = -4.6165 eV per atom
1.0
8.277 0.000 -2.554
-4.268 6.893 -3.052
0.259 0.000 8.658
Pr Pm Ce
8 5 1
Direct
0.532 0.603 0.277
0.554 0.883 0.821
0.939 0.117 0.671
0.329 0.267 0.446
0.674 0.397 0.929
0.071 0.746 0.468
0.179 0.733 0.061
0.723 0.254 0.326
0.034 0.314 0.134
0.866 0.900 0.180
0.500 0.000 0.500
0.820 0.686 0.720
0.280 0.100 0.966
0.250 0.500 0.750



(2)
PBE CePm2Pr, relaxed; formation energy = 0.07 eV per atom; symmetry = R3m; size of the total moment = 1.0 μB/f.u.; VASP energy = -4.9832 eV per atom; relative energy among the computed polymorphs = 0.009 eV/atom
1.0
3.630 0.000 0.000
1.815 3.144 0.000
1.815 1.048 11.858
Pm Pr Ce
2 1 1
Direct
0.085 0.085 0.746
0.248 0.248 0.255
0.667 0.667 0.000
0.500 0.500 0.499



(3)
PBE CePm3Pr6, relaxed; formation energy = 0.22 eV per atom; symmetry = R3; size of the total moment = 0.9 μB/f.u.; VASP energy = -4.6659 eV per atom
1.0
8.945 0.000 4.747
3.213 8.348 4.747
2.286 1.570 6.492
Pr Pm Ce
6 3 1
Direct
0.076 0.400 0.799
0.219 0.900 0.300
0.400 0.725 0.799
0.900 0.581 0.300
0.581 0.219 0.300
0.725 0.076 0.799
0.400 0.400 0.801
0.655 0.655 0.035
0.145 0.145 0.565
0.900 0.900 0.301



(4)
PBE CePm2Pr, relaxed; formation energy = 0.08 eV per atom; symmetry = P4/mmm; size of the total moment = 0.8 μB/f.u.; VASP energy = -4.9717 eV per atom; relative energy among the computed polymorphs = 0.020 eV/atom
1.0
5.125 0.000 0.000
0.000 5.135 0.000
0.000 0.000 5.135
Pm Ce Pr
2 1 1
Direct
0.000 0.500 0.000
0.000 0.000 0.500
0.500 0.500 0.500
0.500 0.000 0.000